Model P:
The following is a DFT calculation (PBE) of a relaxed structure of La5Pr2Nd4.

abc: 10.6604 10.6604 6.4778
angles: 95.97 95.97 33.17
Closest atoms and distances in Å follow each position.
Fractional coordinates of all 11 atoms:
La 0.0000 0.0000 0.0000  6 Nd 3.70-3.94, 4 Pr 3.79-3.81, 4 La 4.12
La 0.2857 0.2857 0.6035  5 Nd 3.42-3.77, 4 La 3.57-3.81, 1 Pr 3.82
La 0.3773 0.3773 0.1490  6 Nd 3.48-3.73, 2 La 3.66-3.81, 2 Pr 3.68
La 0.6227 0.6227 0.8510  6 Nd 3.48-3.73, 2 La 3.66-3.81, 2 Pr 3.68
La 0.7143 0.7143 0.3965  5 Nd 3.42-3.77, 4 La 3.57-3.81, 1 Pr 3.82
Pr 0.0978 0.0978 0.5318  4 Nd 3.49-3.79, 5 La 3.68-3.82
Pr 0.9022 0.9022 0.4682  4 Nd 3.49-3.79, 5 La 3.68-3.82
Nd 0.1940 0.1940 0.0657  8 La 3.59-3.94, 2 Pr 3.78-3.79, 2 Nd 3.95
Nd 0.4536 0.4536 0.6935  1 Nd 3.30, 3 La 3.42-3.49, 2 Pr 3.49
Nd 0.5464 0.5464 0.3065  1 Nd 3.30, 3 La 3.42-3.49, 2 Pr 3.49
Nd 0.8060 0.8060 0.9343  8 La 3.59-3.94, 2 Pr 3.78-3.79, 2 Nd 3.95



Model Q:
The following is a DFT calculation (PBE) of a relaxed structure of La5Pr2Nd4.

abc: 12.9801 12.9801 12.9801
angles: 164.00 136.65 46.49
Closest atoms and distances in Å follow each position.
Fractional coordinates of all 11 atoms:
La 0.0000 0.0000 0.0000  4 Nd 3.41, 2 La 3.61
La 0.0523 0.3530 0.6993  1 Pr 3.48, 3 La 3.61-3.82, 3 Nd 3.62-3.64
La 0.3463 0.6470 0.6993  1 Pr 3.48, 3 La 3.61-3.82, 3 Nd 3.62-3.64
La 0.6537 0.3530 0.3007  1 Pr 3.48, 3 La 3.61-3.82, 3 Nd 3.62-3.64
La 0.9477 0.6470 0.3007  1 Pr 3.48, 3 La 3.61-3.82, 3 Nd 3.62-3.64
Pr 0.2691 0.7691 0.5000  1 Nd 3.24, 2 La 3.48, 2 Pr 3.61
Pr 0.7309 0.2309 0.5000  1 Nd 3.24, 2 La 3.48, 2 Pr 3.61
Nd 0.3018 0.5000 0.8018  4 La 3.41-3.64, 7 Nd 3.47-3.80
Nd 0.4047 0.9047 0.5000  1 Pr 3.24, 6 Nd 3.47-3.61, 4 La 3.62
Nd 0.5953 0.0953 0.5000  1 Pr 3.24, 6 Nd 3.47-3.61, 4 La 3.62
Nd 0.6982 0.5000 0.1982  4 La 3.41-3.64, 7 Nd 3.47-3.80



Most stable of them? model P.



Model P:
The following is a DFT calculation (PBE) of a relaxed structure of La3Pr3Nd5.

abc: 9.8695 9.8695 5.7042
angles: 90.00 90.00 120.00
Closest atoms and distances in Å follow each position.
Fractional coordinates of all 11 atoms:
La 0.0000 0.4067 0.0000  2 Pr 3.14
La 0.4067 0.0000 0.0000  2 Pr 3.14
La 0.5933 0.5933 0.0000  2 Pr 3.14
Pr 0.0000 0.2731 0.5000  2 La 3.14, 2 Nd 3.24
Pr 0.2731 0.0000 0.5000  2 La 3.14, 2 Nd 3.24
Pr 0.7269 0.7269 0.5000  2 La 3.14, 2 Nd 3.24
Nd 0.0000 0.6361 0.5000  2 Nd 3.15, 2 Pr 3.24
Nd 0.3333 0.6667 0.5000  3 Nd 3.15
Nd 0.3639 0.3639 0.5000  2 Nd 3.15, 2 Pr 3.24
Nd 0.6361 0.0000 0.5000  2 Nd 3.15, 2 Pr 3.24
Nd 0.6667 0.3333 0.5000  3 Nd 3.15



Model Q:
The following is a DFT calculation (PBE) of a relaxed structure of La3Pr3Nd5.

abc: 9.7910 9.7910 5.6427
angles: 90.00 90.00 120.00
Closest atoms and distances in Å follow each position.
Fractional coordinates of all 11 atoms:
La 0.0000 0.6360 0.0000  2 Pr 3.09, 4 Nd 3.12-3.21
La 0.3640 0.3640 0.0000  2 Pr 3.09, 4 Nd 3.12-3.21
La 0.6360 0.0000 0.0000  2 Pr 3.09, 4 Nd 3.12-3.21
Pr 0.0000 0.5079 0.5000  2 La 3.09
Pr 0.4921 0.4921 0.5000  2 La 3.09
Pr 0.5079 0.0000 0.5000  2 La 3.09
Nd 0.0000 0.2734 0.0000  3 La 3.21-3.55, 2 Nd 3.59
Nd 0.2734 0.0000 0.0000  3 La 3.21-3.55, 2 Nd 3.59
Nd 0.3333 0.6667 0.0000  3 La 3.12
Nd 0.6667 0.3333 0.0000  3 La 3.12
Nd 0.7266 0.7266 0.0000  3 La 3.21-3.55, 2 Nd 3.59



Most stable of them? model P.



Model P:
The following is a DFT calculation (PBE) of a relaxed structure of La12PrNd7.

abc: 11.2104 11.2104 11.2104
angles: 115.62 115.62 115.62
Closest atoms and distances in Å follow each position.
Fractional coordinates of all 20 atoms:
La 0.0706 0.5030 0.2892  4 La 3.30-3.58, 2 Nd 3.61-3.64
La 0.1991 0.2694 0.7467  2 Nd 3.19-3.36, 4 La 3.30-3.58
La 0.2533 0.8009 0.7306  2 Nd 3.19-3.36, 4 La 3.30-3.58
La 0.2694 0.7467 0.1991  2 Nd 3.19-3.36, 4 La 3.30-3.58
La 0.2892 0.0706 0.5030  4 La 3.30-3.58, 2 Nd 3.61-3.64
La 0.4970 0.7108 0.9294  4 La 3.30-3.58, 2 Nd 3.61-3.64
La 0.5030 0.2892 0.0706  4 La 3.30-3.58, 2 Nd 3.61-3.64
La 0.7108 0.9294 0.4970  4 La 3.30-3.58, 2 Nd 3.61-3.64
La 0.7306 0.2533 0.8009  2 Nd 3.19-3.36, 4 La 3.30-3.58
La 0.7467 0.1991 0.2694  2 Nd 3.19-3.36, 4 La 3.30-3.58
La 0.8009 0.7306 0.2533  2 Nd 3.19-3.36, 4 La 3.30-3.58
La 0.9294 0.4970 0.7108  4 La 3.30-3.58, 2 Nd 3.61-3.64
Pr 0.0000 0.0000 0.0000  8 Nd 3.35-3.57
Nd 0.0793 0.2251 0.3873  2 La 3.19-3.36, 1 Pr 3.35, 1 Nd 3.50
Nd 0.2251 0.3873 0.0793  2 La 3.19-3.36, 1 Pr 3.35, 1 Nd 3.50
Nd 0.3873 0.0793 0.2251  2 La 3.19-3.36, 1 Pr 3.35, 1 Nd 3.50
Nd 0.5000 0.5000 0.5000  6 Nd 3.50, 2 Pr 3.57
Nd 0.6127 0.9207 0.7749  2 La 3.19-3.36, 1 Pr 3.35, 1 Nd 3.50
Nd 0.7749 0.6127 0.9207  2 La 3.19-3.36, 1 Pr 3.35, 1 Nd 3.50
Nd 0.9207 0.7749 0.6127  2 La 3.19-3.36, 1 Pr 3.35, 1 Nd 3.50



Model Q:
The following is a DFT calculation (PBE) of a relaxed structure of La12PrNd7.

abc: 9.1223 9.1223 9.1223
angles: 99.96 99.96 99.96
Closest atoms and distances in Å follow each position.
Fractional coordinates of all 20 atoms:
La 0.0000 0.2591 0.7409  4 Nd 3.57-3.67, 6 La 3.62-3.70, 1 Pr 3.62
La 0.0000 0.7409 0.2591  4 Nd 3.57-3.67, 6 La 3.62-3.70, 1 Pr 3.62
La 0.1578 0.5914 0.5914  1 La 3.09
La 0.2591 0.0000 0.7409  4 Nd 3.57-3.67, 6 La 3.62-3.70, 1 Pr 3.62
La 0.2591 0.7409 0.0000  4 Nd 3.57-3.67, 6 La 3.62-3.70, 1 Pr 3.62
La 0.4086 0.4086 0.8422  1 La 3.09
La 0.4086 0.8422 0.4086  1 La 3.09
La 0.5914 0.1578 0.5914  1 La 3.09
La 0.5914 0.5914 0.1578  1 La 3.09
La 0.7409 0.0000 0.2591  4 Nd 3.57-3.67, 6 La 3.62-3.70, 1 Pr 3.62
La 0.7409 0.2591 0.0000  4 Nd 3.57-3.67, 6 La 3.62-3.70, 1 Pr 3.62
La 0.8422 0.4086 0.4086  1 La 3.09
Pr 0.0000 0.0000 0.0000  6 La 3.62, 6 Nd 3.70
Nd 0.1498 0.1498 0.4119  6 La 3.57-3.97, 3 Nd 3.66-3.97, 1 Pr 3.70
Nd 0.1498 0.4119 0.1498  6 La 3.57-3.97, 3 Nd 3.66-3.97, 1 Pr 3.70
Nd 0.4119 0.1498 0.1498  6 La 3.57-3.97, 3 Nd 3.66-3.97, 1 Pr 3.70
Nd 0.5000 0.5000 0.5000  6 La 3.56, 6 Nd 3.97
Nd 0.5881 0.8502 0.8502  6 La 3.57-3.97, 3 Nd 3.66-3.97, 1 Pr 3.70
Nd 0.8502 0.5881 0.8502  6 La 3.57-3.97, 3 Nd 3.66-3.97, 1 Pr 3.70
Nd 0.8502 0.8502 0.5881  6 La 3.57-3.97, 3 Nd 3.66-3.97, 1 Pr 3.70



Most stable of them? model Q.



Model P:
The following is a DFT calculation (PBE) of a relaxed structure of La4Pr2Nd.

abc: 9.2799 9.2799 9.2799
angles: 135.60 100.76 95.68
Closest atoms and distances in Å follow each position.
Fractional coordinates of all 14 atoms:
La 0.1456 0.1448 0.0007  1 Pr 3.41, 5 La 3.61-3.82, 2 Nd 3.67
La 0.2444 0.2130 0.4686  1 La 3.07, 1 Nd 3.19, 1 Pr 3.32
La 0.2444 0.7759 0.0314  1 La 3.07, 1 Nd 3.19, 1 Pr 3.32
La 0.3559 0.8552 0.5007  1 Pr 3.41, 5 La 3.61-3.82, 2 Nd 3.67
La 0.6441 0.1448 0.4993  1 Pr 3.41, 5 La 3.61-3.82, 2 Nd 3.67
La 0.7556 0.2241 0.9686  1 La 3.07, 1 Nd 3.19, 1 Pr 3.32
La 0.7556 0.7870 0.5314  1 La 3.07, 1 Nd 3.19, 1 Pr 3.32
La 0.8544 0.8552 0.9993  1 Pr 3.41, 5 La 3.61-3.82, 2 Nd 3.67
Pr 0.0000 0.5000 0.5000  8 La 3.56-3.94
Pr 0.0299 0.2799 0.7500  4 La 3.32-3.41, 2 Pr 3.58
Pr 0.5000 0.5000 0.0000  8 La 3.56-3.94
Pr 0.9701 0.7201 0.2500  4 La 3.32-3.41, 2 Pr 3.58
Nd 0.5000 0.0000 0.0000  2 La 3.19, 2 Nd 3.51
Nd 0.5000 0.5000 0.5000  2 La 3.19, 2 Nd 3.51



Model Q:
The following is a DFT calculation (PBE) of a relaxed structure of La4Pr2Nd.

abc: 10.9867 6.8717 6.8674
angles: 90.00 94.21 90.00
Closest atoms and distances in Å follow each position.
Fractional coordinates of all 14 atoms:
La 0.1652 0.0000 0.1537  4 La 3.43-3.73, 2 Pr 3.59
La 0.2456 0.0000 0.6812  4 Pr 3.41-3.53, 1 Nd 3.42, 4 La 3.43-3.73
La 0.2544 0.5000 0.3188  4 Pr 3.41-3.53, 1 Nd 3.42, 4 La 3.43-3.73
La 0.3348 0.5000 0.8463  4 La 3.43-3.73, 2 Pr 3.59
La 0.6652 0.5000 0.1537  4 La 3.43-3.73, 2 Pr 3.59
La 0.7456 0.5000 0.6812  4 Pr 3.41-3.53, 1 Nd 3.42, 4 La 3.43-3.73
La 0.7544 0.0000 0.3188  4 Pr 3.41-3.53, 1 Nd 3.42, 4 La 3.43-3.73
La 0.8348 0.0000 0.8463  4 La 3.43-3.73, 2 Pr 3.59
Pr 0.0000 0.2645 0.5000  1 Pr 3.24, 6 La 3.41-3.59
Pr 0.0000 0.7355 0.5000  1 Pr 3.24, 6 La 3.41-3.59
Pr 0.5000 0.2355 0.5000  1 Pr 3.24, 6 La 3.41-3.59
Pr 0.5000 0.7645 0.5000  1 Pr 3.24, 6 La 3.41-3.59
Nd 0.0000 0.5000 0.0000  2 La 3.42, 4 Pr 3.80
Nd 0.5000 0.0000 0.0000  2 La 3.42, 4 Pr 3.80



Most stable of them? model Q.



Model P:
The following is a DFT calculation (PBE) of a relaxed structure of La7Pr3Nd.

abc: 7.3849 7.3849 8.8514
angles: 90.00 90.00 120.00
Closest atoms and distances in Å follow each position.
Fractional coordinates of all 11 atoms:
La 0.0000 0.0000 0.0000  9 La 3.62-3.70, 3 Pr 3.71
La 0.0024 0.5012 0.0159  2 Pr 3.60, 1 Nd 3.63, 8 La 3.67-3.72
La 0.1677 0.3354 0.6709  2 Pr 3.60, 7 La 3.62-3.72, 2 Nd 3.69
La 0.1677 0.8323 0.6709  2 Pr 3.60, 7 La 3.62-3.72, 2 Nd 3.69
La 0.4988 0.5012 0.0159  2 Pr 3.60, 1 Nd 3.63, 8 La 3.67-3.72
La 0.4988 0.9976 0.0159  2 Pr 3.60, 1 Nd 3.63, 8 La 3.67-3.72
La 0.6646 0.8323 0.6709  2 Pr 3.60, 7 La 3.62-3.72, 2 Nd 3.69
Pr 0.3330 0.1665 0.3430  5 La 3.60-3.71, 4 Pr 3.69-3.70, 1 Nd 3.71
Pr 0.8335 0.1665 0.3430  5 La 3.60-3.71, 4 Pr 3.69-3.70, 1 Nd 3.71
Pr 0.8335 0.6670 0.3430  5 La 3.60-3.71, 4 Pr 3.69-3.70, 1 Nd 3.71
Nd 0.6667 0.3333 0.6854  9 La 3.63-3.69, 3 Pr 3.71



Model Q:
The following is a DFT calculation (PBE) of a relaxed structure of La7Pr3Nd.

abc: 11.2938 11.2938 3.6715
angles: 90.00 90.00 120.00
Closest atoms and distances in Å follow each position.
Fractional coordinates of all 11 atoms:
La 0.0000 0.0000 0.9998  2 La 3.67, 6 Pr 3.76
La 0.3983 0.1991 0.5007  6 La 3.50-3.67, 2 Pr 3.63
La 0.5008 0.0017 0.0000  1 Nd 3.28, 4 La 3.50
La 0.5008 0.4992 0.0000  1 Nd 3.28, 4 La 3.50
La 0.8009 0.1991 0.5007  6 La 3.50-3.67, 2 Pr 3.63
La 0.8009 0.6017 0.5007  6 La 3.50-3.67, 2 Pr 3.63
La 0.9983 0.4992 0.0000  1 Nd 3.28, 4 La 3.50
Pr 0.1677 0.3354 0.4991  8 La 3.63-3.76, 2 Pr 3.67, 2 Nd 3.72-3.73
Pr 0.1677 0.8323 0.4991  8 La 3.63-3.76, 2 Pr 3.67, 2 Nd 3.72-3.73
Pr 0.6646 0.8323 0.4991  8 La 3.63-3.76, 2 Pr 3.67, 2 Nd 3.72-3.73
Nd 0.3333 0.6667 0.9983  3 La 3.28



Most stable of them? model Q.